# 1
Here is crystalline SrTcMo at its relaxed geometry from Alexandria. Energies are from PBE.

Results
Space group ... Pm
Density ... 6.56 Mg/m³
Spin magnetization ... 0.00 μB/f.u.
V ... 142.46 Å³/cell
Formation enthalpy at 0 K ... 0.50 eV/atom
Energy above the most stable polymorph in this dataset ... 147 meV/atom

Cell: 5.467 4.248 6.241 Å, 90.00 100.66 90.00°
Sites, in units of the cell vectors:
Sr 0.873 0.000 0.070
Sr 0.384 0.500 0.206
Mo 0.269 0.000 0.682
Mo 0.543 0.500 0.711
Tc 0.726 0.000 0.555
Tc 0.012 0.500 0.639

---

# 2
Here is crystalline CaGePd at its relaxed geometry from Alexandria. Energies are from PBE.

Results
Space group ... P2_1/m
Density ... 5.96 Mg/m³
Spin magnetization ... 0.00 μB/f.u.
V ... 366.20 Å³/cell
Formation enthalpy at 0 K ... -0.72 eV/atom

Cell: 4.317 7.182 11.811 Å, 89.82 90.00 90.00°
Sites, in units of the cell vectors:
Ca 0.750 0.010 0.307
Ca 0.250 0.990 0.693
Pd 0.250 0.716 0.239
Ca 0.250 0.346 0.929
Ca 0.750 0.500 0.368
Pd 0.750 0.209 0.100
Ge 0.250 0.814 0.449
Ge 0.250 0.985 0.093
Ge 0.250 0.345 0.206
Ge 0.750 0.015 0.907
Ca 0.250 0.500 0.632
Pd 0.750 0.797 0.562
Ca 0.750 0.654 0.071
Ge 0.750 0.655 0.794
Pd 0.750 0.284 0.761
Pd 0.250 0.203 0.438
Pd 0.250 0.791 0.900
Ge 0.750 0.186 0.551

---

# 3
Here is crystalline K2PaCdO5 at its relaxed geometry from Alexandria. Energies are from PBE.

Results
Space group ... P4/mmm
Density ... 5.08 Mg/m³
Spin magnetization ... 1.01 μB/f.u.
Energy ... -55.49 eV per cell
V ... 164.01 Å³/cell

Cell: 4.386 4.386 8.528 Å, 90.00 90.00 90.00°
Each line ends with the local moment (μB).
Sites, in units of the cell vectors:
O 0.000 0.000 0.754  0.00
Cd 0.000 0.000 0.000  -0.01
O 0.000 0.500 0.500  0.00
Pa 0.000 0.000 0.500  0.00
K 0.500 0.500 0.721  0.02
O 0.500 0.000 0.500  0.00
O 0.000 0.000 0.246  0.00
K 0.500 0.500 0.279  0.02
O 0.500 0.500 0.000  0.77

---

# 4
Here is crystalline KZr2Tl at its relaxed geometry from Alexandria. Energies are from PBE.

Results
Space group ... Cmm2
Density ... 6.18 Mg/m³
Spin magnetization ... 0.00 μB/f.u.
V ... 114.37 Å³/cell
Formation enthalpy at 0 K ... 0.16 eV/atom
Energy above the most stable polymorph in this dataset ... 0 meV/atom

Cell: 3.212 3.212 11.094 Å, 90.00 90.00 92.43°
Sites, in units of the cell vectors:
Tl 0.500 0.500 0.778
K 0.000 0.000 0.515
Zr 0.500 0.500 0.199
Zr 0.000 0.000 0.009